(1)
This record from Alexandria via LeMat-Bulk describes a relaxed structure of PtBrN2F. The functional is PBE.

Properties
The value obtained for the energy above the most stable polymorph in this dataset is 0 meV per atom. The crystal system is tetragonal. For the energy relative to the elements, uncorrected, the calculation gives 5.19 eV per formula unit. The value obtained for the total DFT energy (no corrections) is -21.05 eV/cell.

Structure (CIF):
```
data_PtBrN2F
_chemical_formula_sum 'Pt1 Br1 N2 F1'
_cell_length_a 3.711
_cell_length_b 3.711
_cell_length_c 7.554
_cell_angle_alpha 90.00
_cell_angle_beta 90.00
_cell_angle_gamma 90.00
_space_group_name_H-M_alt 'P 4/m m m'
_space_group_IT_number 123
_space_group_name_Hall '-P 4 2'
loop_
_atom_site_label
_atom_site_fract_x
_atom_site_fract_y
_atom_site_fract_z
_atom_site_occupancy
Pt1 0.000 0.000 0.000 1
Br1 0.000 0.000 0.500 1
N1 0.000 0.500 0.000 1
F1 0.500 0.500 0.500 1
```


(2)
This record from Alexandria via LeMat-Bulk describes a relaxed structure of PtBrNF2. The functional is PBE.

Properties
The value obtained for the energy above the most stable polymorph in this dataset is 1011 meV per atom. The crystal system is tetragonal. For the energy relative to the elements, uncorrected, the calculation gives 5.96 eV per formula unit. The value obtained for the total DFT energy (no corrections) is -13.83 eV/cell.

Structure (CIF):
```
data_PtBrNF2
_chemical_formula_sum 'Pt1 Br1 N1 F2'
_cell_length_a 4.718
_cell_length_b 4.718
_cell_length_c 3.617
_cell_angle_alpha 90.00
_cell_angle_beta 90.00
_cell_angle_gamma 90.00
_space_group_name_H-M_alt 'P 4/m m m'
_space_group_IT_number 123
_space_group_name_Hall '-P 4 2'
loop_
_atom_site_label
_atom_site_fract_x
_atom_site_fract_y
_atom_site_fract_z
_atom_site_occupancy
Pt1 0.000 0.000 0.000 1
Br1 0.500 0.500 0.500 1
N1 0.500 0.500 0.000 1
F1 0.000 0.500 0.500 1
```


(3)
This record from Alexandria via LeMat-Bulk describes a relaxed structure of PtBrN2F. The functional is PBE.

Properties
The value obtained for the energy above the most stable polymorph in this dataset is 78 meV per atom. The crystal system is tetragonal. For the energy relative to the elements, uncorrected, the calculation gives 5.58 eV per formula unit. The value obtained for the total DFT energy (no corrections) is -20.66 eV/cell.

Structure (CIF):
```
data_PtBrN2F
_chemical_formula_sum 'Pt1 Br1 N2 F1'
_cell_length_a 3.923
_cell_length_b 3.923
_cell_length_c 4.456
_cell_angle_alpha 90.00
_cell_angle_beta 90.00
_cell_angle_gamma 90.00
_space_group_name_H-M_alt 'P 4/m m m'
_space_group_IT_number 123
_space_group_name_Hall '-P 4 2'
loop_
_atom_site_label
_atom_site_fract_x
_atom_site_fract_y
_atom_site_fract_z
_atom_site_occupancy
Pt1 0.000 0.000 0.000 1
Br1 0.500 0.500 0.500 1
N1 0.000 0.500 0.000 1
F1 0.000 0.000 0.500 1
```


(4)
This record from Alexandria via LeMat-Bulk describes a relaxed structure of PtBrNF2. The functional is PBE.

Properties
The value obtained for the energy above the most stable polymorph in this dataset is 0 meV per atom. The crystal system is tetragonal. For the energy relative to the elements, uncorrected, the calculation gives 0.90 eV per formula unit. The value obtained for the total DFT energy (no corrections) is -18.88 eV/cell.

Structure (CIF):
```
data_PtBrNF2
_chemical_formula_sum 'Pt1 Br1 N1 F2'
_cell_length_a 4.467
_cell_length_b 4.467
_cell_length_c 3.738
_cell_angle_alpha 90.00
_cell_angle_beta 90.00
_cell_angle_gamma 90.00
_space_group_name_H-M_alt 'P 4/m m m'
_space_group_IT_number 123
_space_group_name_Hall '-P 4 2'
loop_
_atom_site_label
_atom_site_fract_x
_atom_site_fract_y
_atom_site_fract_z
_atom_site_occupancy
Pt1 0.000 0.000 0.000 1
Br1 0.500 0.500 0.500 1
N1 0.000 0.000 0.500 1
F1 0.000 0.500 0.000 1
```


no.,DOS at the Fermi energy (states/eV/cell)
1,4.5
2,7.6
3,3.7
4,3.3